DFT (GGA-PBE) results for an optimized crystal structure of NdVGe2.

Cell and atoms, written as CIF:
```
data_NdVGe2
_chemical_formula_sum 'Nd3 V3 Ge6'
_cell_length_a 3.0600
_cell_length_b 3.0600
_cell_length_c 30.5781
_cell_angle_alpha 90.00
_cell_angle_beta 90.00
_cell_angle_gamma 120.00
_space_group_name_H-M_alt 'R -3 m'
_space_group_IT_number 166
_space_group_name_Hall '-R 3 2"'
loop_
_atom_site_label
_atom_site_type_symbol
_atom_site_fract_x
_atom_site_fract_y
_atom_site_fract_z
Nd1 Nd 0.0000 0.0000 0.0000
V1 V 0.0000 0.0000 0.5000
Ge1 Ge 0.0000 0.0000 0.1005
```

Properties
ΔH_f (0 K) (eV/atom): 0.2572
VASP energy (eV for the cell shown): -66.3
Density of states at the Fermi level (states/eV per cell): 13.0